(1)
# K2PdPtSe4

A relaxed structure of K2PdPtSe4 (PBE, Alexandria via LeMat-Bulk).

Unit cell a=5.9410 b=13.2092 c=22.1892 alpha=90.00 beta=90.00 gamma=90.00
Closest atoms and distances in Å follow each position.
Space group Fddd (No. 70, origin choice 2)
Inequivalent atoms, fractional coordinates:
K: 0.1250 0.1250 0.3140 (multiplicity 16)  8 Se 3.36-3.57
Pd: 0.1250 0.1250 0.6250 (multiplicity 8)  4 Se 2.49
Pt: 0.1250 0.1250 0.1250 (multiplicity 8)  4 Se 2.49
Se: 0.1245 0.2747 0.8078 (multiplicity 32)  1 Pd 2.49, 1 Pt 2.49

Energy relative to the elements, uncorrected in eV per atom: -0.5171
D(E_F) in states/eV per cell: 43.76
E_tot in eV per atom: -3.938

(2)
# TlCuRhBr6

A relaxed structure of TlCuRhBr6 (PBE, Alexandria via LeMat-Bulk).

Unit cell a=6.6695 b=6.6695 c=7.3141 alpha=90.00 beta=90.00 gamma=120.00
Closest atoms and distances in Å follow each position.
Space group P312 (No. 149)
Inequivalent atoms, fractional coordinates:
Tl: 0.0000 0.0000 0.0000 (multiplicity 1)  6 Br 3.31
Cu: 0.3333 0.6667 0.5000 (multiplicity 1)  6 Br 2.60
Rh: 0.6667 0.3333 0.5000 (multiplicity 1)  6 Br 2.51
Br: 0.3721 0.0105 0.6955 (multiplicity 6)  1 Rh 2.51, 1 Cu 2.60

Energy relative to the elements, uncorrected in eV per atom: -0.4278
D(E_F) in states/eV per cell: 6.74
E_tot in eV per atom: -3.078

(3)
# TcMoC2S

A relaxed structure of TcMoC2S (PBE, Alexandria via LeMat-Bulk).

Unit cell a=3.8770 b=3.8770 c=4.8239 alpha=90.00 beta=90.00 gamma=90.00
Closest atoms and distances in Å follow each position.
Space group P4/mmm (No. 123)
Inequivalent atoms, fractional coordinates:
Tc: 0.0000 0.0000 0.0000 (multiplicity 1)  4 C 1.94
Mo: 0.5000 0.5000 0.5000 (multiplicity 1)  4 S 2.74
C: 0.0000 0.5000 0.0000 (multiplicity 2)  2 Tc 1.94
S: 0.0000 0.0000 0.5000 (multiplicity 1)  2 Tc 2.41

Energy relative to the elements, uncorrected in eV per atom: 1.7217
D(E_F) in states/eV per cell: 8.11
E_tot in eV per atom: -7.033